Computed, not measured: a geometry-optimized PtAuS2 structure at the GGA-PBE level of DFT.

Structure (POSCAR):
```
PtAuS2
1.0
5.808 0.000 0.000
0.000 5.808 0.000
2.904 2.904 5.054
Pt S Au
2 4 2
Direct
0.500 0.500 0.000
0.250 0.750 0.500
0.152 0.625 0.250
0.375 0.402 0.750
0.598 0.125 0.250
0.875 0.848 0.750
0.750 0.250 0.500
0.000 0.000 0.000
```

Output
* electronic total energy: -34.4 eV/cell
* formation energy from raw total energies: 0.099 eV per atom
* magnetic moment: 0.000 μB/f.u.